Material: Ba5Co5O14
Method: DFT, PBE+U
State: relaxed

Cell lengths 5.7298, 5.7298, 11.9500 Å; angles 90.00, 90.00, 120.00 degrees
Fractional coordinates of all 24 atoms:
Ba 0.0000 0.0000 0.0000
Ba 0.3333 0.6667 0.4188
Ba 0.3333 0.6667 0.7728
Ba 0.6667 0.3333 0.2272
Ba 0.6667 0.3333 0.5812
Co 0.0000 0.0000 0.2936
Co 0.0000 0.0000 0.5000
Co 0.0000 0.0000 0.7064
Co 0.3333 0.6667 0.1409
Co 0.6667 0.3333 0.8591
O 0.1470 0.2941 0.6017
O 0.1470 0.8530 0.6017
O 0.1624 0.3248 0.1971
O 0.1624 0.8376 0.1971
O 0.2941 0.1470 0.3983
O 0.3248 0.1624 0.8029
O 0.3333 0.6667 0.9951
O 0.6667 0.3333 0.0049
O 0.6752 0.8376 0.1971
O 0.7059 0.8530 0.6017
O 0.8376 0.1624 0.8029
O 0.8376 0.6752 0.8029
O 0.8530 0.1470 0.3983
O 0.8530 0.7059 0.3983

Values from the calculation:
* energy: -145.55 eV per cell
* space group: P-3m1, No. 164
* total moment: 11.01 Bohr magnetons per cell